Compound: Rb2CrOF6
Source: Alexandria via LeMat-Bulk
Functional: GGA+U
Structure: optimized geometry

Calculated values
DFT total energy (eV per atom): -4.669
Total magnetic moment (μB/f.u.): 0.00
Crystal system: tetragonal

a = 6.469 Å, b = 6.469 Å, c = 6.469 Å
α = 123.51°, β = 123.51°, γ = 84.02°
Fractional positions:
Rb 0.250 0.750 0.500
Rb 0.750 0.250 0.500
Cr 0.000 0.000 0.000
O 0.500 0.500 0.000
F 0.197 0.197 0.000
F 0.213 0.213 0.426
F 0.213 0.787 0.000
F 0.787 0.213 0.000
F 0.787 0.787 0.574
F 0.803 0.803 0.000